Below is a relaxed structure of Er2ZrZn, with properties calculated at the GGA-PBE level.

Summary:
As for the calculated volume: 97.5 Å³/cell. For the formation energy, the calculation gives -0.144 eV per atom. The calculation puts the magnetization at 0.0 μB per formula unit.

Geometry as POSCAR:
```
Er2ZrZn
1.0
3.399 0.000 0.000
0.000 3.399 0.000
0.000 0.000 8.433
Er Zr Zn
2 1 1
direct
0.000 0.000 0.227
0.000 0.000 0.773
0.500 0.500 0.500
0.500 0.500 0.000
```

***

Below is a relaxed structure of SmBi2O4F, with properties calculated at the GGA-PBE level.

Summary:
As for the calculated volume: 131.4 Å³/cell. Its energy relative to the elements, uncorrected is -2.1415 eV/atom. The calculation puts the magnetization at 0.0 μB per formula unit.

Geometry as POSCAR:
```
SmBi2O4F
1.0
3.885 0.000 0.000
0.000 3.885 0.000
0.000 0.000 8.706
Sm Bi O F
1 2 4 1
direct
0.000 0.000 0.000
0.500 0.500 0.296
0.500 0.500 0.704
0.000 0.500 0.167
0.000 0.500 0.833
0.500 0.000 0.167
0.500 0.000 0.833
0.000 0.000 0.500
```

***

Below is a relaxed structure of Li2PuAg2Sb2, with properties calculated at the GGA-PBE level.

Summary:
As for the calculated volume: 150.1 Å³/cell. Its energy relative to the elements, uncorrected is -0.4284 eV/atom. The calculation puts the magnetization at 5.5 μB per formula unit.

Geometry as POSCAR:
```
Li2PuAg2Sb2
1.0
2.304 1.330 8.161
-2.304 1.330 8.161
0.000 -2.660 8.161
Li Pu Ag Sb
2 1 2 2
direct
0.143 0.143 0.143
0.857 0.857 0.857
0.000 0.000 0.000
0.441 0.441 0.441
0.559 0.559 0.559
0.261 0.261 0.261
0.739 0.739 0.739
```

***

Below is a relaxed structure of La3InGe, with properties calculated at the GGA-PBE level.

Summary:
As for the calculated volume: 301.3 Å³/cell. For the formation energy, the calculation gives -0.577 eV per atom. The calculation puts the magnetization at 0.0 μB per formula unit.

Geometry as POSCAR:
```
La3InGe
1.0
0.000 4.870 8.414
3.676 0.000 8.414
3.676 4.870 0.000
La In Ge
6 2 2
direct
0.193 0.193 0.807
0.201 0.599 0.401
0.401 0.799 0.201
0.599 0.201 0.799
0.799 0.401 0.599
0.807 0.807 0.193
0.197 0.803 0.803
0.803 0.197 0.197
0.250 0.250 0.250
0.750 0.750 0.750
```

***

Below is a relaxed structure of Dy2Ho3Tm6Hf, with properties calculated at the GGA-PBE level.

Summary:
As for the calculated volume: 354.2 Å³/cell. For the formation energy, the calculation gives 0.060 eV per atom. The calculation puts the magnetization at 0.0 μB per formula unit.

Geometry as POSCAR:
```
Dy2Ho3Tm6Hf
1.0
3.009 -5.203 0.000
3.009 5.203 0.000
-1.996 0.000 11.312
Dy Ho Tm Hf
2 3 6 1
direct
0.167 0.833 0.000
0.833 0.167 0.000
0.000 0.000 0.500
0.333 0.667 0.500
0.667 0.333 0.500
0.093 0.419 0.755
0.255 0.255 0.244
0.419 0.093 0.755
0.581 0.907 0.245
0.745 0.745 0.756
0.907 0.581 0.245
0.500 0.500 0.000
```

***

Below is a relaxed structure of YTiPd2, with properties calculated at the GGA-PBE level.

Summary:
As for the calculated volume: 75.5 Å³/cell. For the formation energy, the calculation gives -0.558 eV per atom. The calculation puts the magnetization at 0.0 μB per formula unit.

Geometry as POSCAR:
```
YTiPd2
1.0
0.000 3.355 3.355
3.355 0.000 3.355
3.355 3.355 0.000
Y Ti Pd
1 1 2
direct
0.000 0.000 0.000
0.500 0.500 0.500
0.250 0.250 0.250
0.750 0.750 0.750
```

***

Below is a relaxed structure of SbAs2Pb, with properties calculated at the GGA-PBE level.

Summary:
As for the calculated volume: 98.9 Å³/cell. Its energy relative to the elements, uncorrected is 0.3940 eV/atom. The calculation puts the magnetization at 0.0 μB per formula unit.

Geometry as POSCAR:
```
SbAs2Pb
1.0
0.000 3.671 3.671
3.671 0.000 3.671
3.671 3.671 0.000
Sb As Pb
1 2 1
direct
0.000 0.000 0.000
0.500 0.500 0.500
0.750 0.750 0.750
0.250 0.250 0.250
```

***

Below is a relaxed structure of CaFeTc2, with properties calculated at the GGA-PBE level.

Summary:
As for the calculated volume: 140.2 Å³/cell. For the formation energy, the calculation gives 0.754 eV per atom. The calculation puts the magnetization at 0.0 μB per formula unit.

Geometry as POSCAR:
```
CaFeTc2
1.0
-3.647 3.647 2.635
3.647 -3.647 2.635
3.647 3.647 -2.635
Ca Fe Tc
2 2 4
direct
0.000 0.000 0.000
0.750 0.250 0.500
0.250 0.750 0.500
0.500 0.500 0.000
0.196 0.625 0.071
0.375 0.446 0.571
0.554 0.125 0.929
0.875 0.804 0.429
```

***

Below is a relaxed structure of SmHoZr2As4, with properties calculated at the GGA-PBE level.

Summary:
As for the calculated volume: 181.6 Å³/cell. For the formation energy, the calculation gives -1.311 eV per atom. The calculation puts the magnetization at 0.0 μB per formula unit.

Geometry as POSCAR:
```
SmHoZr2As4
1.0
6.909 0.000 0.000
0.000 3.983 0.000
-2.308 0.000 6.598
Sm Ho Zr As
1 1 2 4
direct
0.000 0.000 0.000
0.500 0.500 0.000
0.000 0.500 0.500
0.500 0.000 0.500
0.248 0.000 0.736
0.259 0.500 0.267
0.741 0.500 0.733
0.752 0.000 0.264
```

***

Below is a relaxed structure of AgTe6Pd, with properties calculated at the GGA-PBE level.

Summary:
As for the calculated volume: 225.5 Å³/cell. Its energy relative to the elements, uncorrected is -0.0184 eV/atom. The calculation puts the magnetization at 0.0 μB per formula unit.

Geometry as POSCAR:
```
AgTe6Pd
1.0
6.548 0.000 0.000
2.748 6.019 0.000
2.754 2.278 5.722
Ag Te Pd
1 6 1
direct
0.000 0.000 0.000
0.057 0.475 0.701
0.301 0.929 0.539
0.477 0.740 0.042
0.523 0.260 0.958
0.699 0.071 0.461
0.943 0.525 0.299
0.500 0.500 0.500
```

***

Below is a relaxed structure of Ba4TlSe, with properties calculated at the GGA-PBE level.

Summary:
As for the calculated volume: 265.3 Å³/cell. Its energy relative to the elements, uncorrected is 0.0907 eV/atom. The calculation puts the magnetization at 0.4 μB per formula unit.

Geometry as POSCAR:
```
Ba4TlSe
1.0
0.000 5.100 5.100
5.100 0.000 5.100
5.100 5.100 0.000
Ba Tl Se
4 1 1
direct
0.124 0.124 0.124
0.124 0.124 0.628
0.124 0.628 0.124
0.628 0.124 0.124
0.500 0.500 0.500
0.750 0.750 0.750
```

***

Below is a relaxed structure of ThPd2Pb2, with properties calculated at the GGA-PBE level.

Summary:
As for the calculated volume: 250.7 Å³/cell. For the formation energy, the calculation gives -0.483 eV per atom. The calculation puts the magnetization at 0.0 μB per formula unit.

Geometry as POSCAR:
```
ThPd2Pb2
1.0
4.908 0.000 0.000
0.000 4.971 0.000
0.000 0.000 10.277
Th Pd Pb
2 4 4
direct
0.250 0.250 0.177
0.750 0.750 0.823
0.250 0.750 0.330
0.250 0.750 0.980
0.750 0.250 0.020
0.750 0.250 0.670
0.250 0.250 0.514
0.250 0.250 0.835
0.750 0.750 0.165
0.750 0.750 0.486
```